Crystalline Tb6Ce2Er3Sc at its relaxed geometry, computed with PBE.

Computed properties:
energy relative to the elements: 54.0 meV per atom
density of states at the Fermi level: 44.922 states/eV per cell
electronic total energy: -59.0 eV per formula unit

a b c (Å): 6.083 10.536 11.655
angles (deg): 90.00 100.05 90.00
Space group C2/m (No. 12)
Inequivalent atoms, fractional coordinates:
Tb 0.249 0.166 0.248
Tb 0.250 0.000 0.752
Ce 0.000 0.334 0.000
Er 0.000 0.166 0.500
Er 0.000 0.500 0.500
Sc 0.000 0.000 0.000

Crystalline CaScRh at its relaxed geometry, computed with PBE.

Computed properties:
energy relative to the elements: -379.5 meV per atom
relative energy among the computed polymorphs: 228 meV per atom
density of states at the Fermi level: 1.556 states/eV per cell
electronic total energy: -16.8 eV per formula unit

a b c (Å): 6.605 6.605 6.605
angles (deg): 90.00 90.00 90.00
Space group F-43m (No. 216)
Inequivalent atoms, fractional coordinates:
Ca 0.000 0.000 0.000
Sc 0.000 0.000 0.500
Rh 0.250 0.250 0.750

Crystalline Ce4Fe2Ge at its relaxed geometry, computed with PBE.

Computed properties:
energy relative to the elements: -185.6 meV per atom
density of states at the Fermi level: 69.079 states/eV per cell
electronic total energy: -46.6 eV per formula unit

a b c (Å): 11.316 13.626 8.171
angles (deg): 90.00 90.00 90.00
Space group Fdd2 (No. 43)
Inequivalent atoms, fractional coordinates:
Ce 0.033 0.127 0.000
Ce 0.121 0.438 0.847
Fe 0.101 0.174 0.324
Ge 0.000 0.000 0.677

Crystalline AcTbEr14 at its relaxed geometry, computed with PBE.

Computed properties:
energy relative to the elements: 14.6 meV per atom
density of states at the Fermi level: 49.854 states/eV per cell
electronic total energy: -72.4 eV per formula unit

a b c (Å): 11.223 7.223 12.509
angles (deg): 90.00 90.00 90.00
Space group Amm2 (No. 38)
Inequivalent atoms, fractional coordinates:
Ac 0.000 0.000 0.000
Tb 0.000 0.000 0.500
Er 0.000 0.249 0.251
Er 0.251 0.000 0.668
Er 0.255 0.000 0.169
Er 0.256 0.248 0.417
Er 0.500 0.000 0.001
Er 0.500 0.000 0.501
Er 0.500 0.250 0.251

Crystalline Ba2PAu at its relaxed geometry, computed with PBE.

Computed properties:
energy relative to the elements: -823.4 meV per atom
density of states at the Fermi level: 3.272 states/eV per cell
electronic total energy: -15.8 eV per formula unit

a b c (Å): 12.112 4.468 4.860
angles (deg): 90.00 90.39 90.00
Space group Cm (No. 8)
Inequivalent atoms, fractional coordinates:
Ba 0.000 0.000 0.000
Ba 0.235 0.500 0.506
P 0.287 0.000 0.009
Au 0.451 0.000 0.496

Crystalline YScTi2Fe at its relaxed geometry, computed with PBE.

Computed properties:
energy relative to the elements: 270.3 meV per atom
density of states at the Fermi level: 10.346 states/eV per cell
electronic total energy: -35.7 eV per formula unit

a b c (Å): 4.598 4.598 5.147
angles (deg): 90.00 90.00 90.00
Space group P4/mmm (No. 123)
Inequivalent atoms, fractional coordinates:
Y 0.000 0.000 0.000
Sc 0.500 0.500 0.000
Ti 0.000 0.500 0.500
Fe 0.000 0.000 0.500

Crystalline MgTa2W at its relaxed geometry, computed with PBE.

Computed properties:
energy relative to the elements: 192.6 meV per atom
density of states at the Fermi level: 2.183 states/eV per cell
electronic total energy: -37.5 eV per formula unit

a b c (Å): 3.314 3.314 6.609
angles (deg): 90.00 90.00 90.00
Space group P4/mmm (No. 123)
Inequivalent atoms, fractional coordinates:
Mg 0.000 0.000 0.000
Ta 0.500 0.500 0.275
W 0.000 0.000 0.500

Crystalline Y4AlAs at its relaxed geometry, computed with PBE.

Computed properties:
energy relative to the elements: 314.5 meV per atom
density of states at the Fermi level: 30.353 states/eV per cell
electronic total energy: -32.4 eV per formula unit

a b c (Å): 8.744 8.744 8.744
angles (deg): 90.00 90.00 90.00
Space group F-43m (No. 216)
Inequivalent atoms, fractional coordinates:
Y 0.124 0.124 0.124
Al 0.250 0.250 0.750
As 0.000 0.000 0.500

Crystalline Rb3GeMo at its relaxed geometry, computed with PBE.

Computed properties:
energy relative to the elements: 1213.1 meV per atom
relative energy among the computed polymorphs: 0 meV per atom
density of states at the Fermi level: 2.924 states/eV per cell
electronic total energy: -12.3 eV per formula unit

a b c (Å): 6.833 6.833 6.833
angles (deg): 90.00 90.00 90.00
Space group Pm-3m (No. 221)
Inequivalent atoms, fractional coordinates:
Rb 0.000 0.000 0.500
Ge 0.000 0.000 0.000
Mo 0.500 0.500 0.500

Crystalline LaCu2SbP at its relaxed geometry, computed with PBE.

Computed properties:
density of states at the Fermi level: 2.245 states/eV per cell
E_form (uncorrected): -0.19 eV/atom
electronic total energy: -23.6 eV per formula unit

a b c (Å): 4.458 4.458 5.855
angles (deg): 90.00 90.00 90.00
Space group P4/mmm (No. 123)
Inequivalent atoms, fractional coordinates:
La 0.000 0.000 0.000
Cu 0.000 0.500 0.500
Sb 0.500 0.500 0.000
P 0.500 0.500 0.500

Crystalline Ac6OsPt2I3 at its relaxed geometry, computed with PBE.

Computed properties:
density of states at the Fermi level: 10.610 states/eV per cell
E_form (uncorrected): -1.06 eV/atom
electronic total energy: -65.3 eV per formula unit

a b c (Å): 7.690 13.322 9.000
angles (deg): 90.00 106.55 90.00
Space group C2/m (No. 12)
Inequivalent atoms, fractional coordinates:
Ac 0.223 0.161 0.185
Ac 0.239 0.500 0.186
Os 0.000 0.000 0.000
Pt 0.000 0.333 0.000
I 0.000 0.165 0.500
I 0.000 0.500 0.500

Crystalline NaTlGa2 at its relaxed geometry, computed with PBE.

Computed properties:
energy relative to the elements: 13.8 meV per atom
relative energy among the computed polymorphs: 0 meV per atom
density of states at the Fermi level: 1.930 states/eV per cell
electronic total energy: -9.7 eV per formula unit

a b c (Å): 4.475 4.475 4.622
angles (deg): 90.00 90.00 90.00
Space group P4/mmm (No. 123)
Inequivalent atoms, fractional coordinates:
Na 0.000 0.000 0.000
Tl 0.500 0.500 0.000
Ga 0.000 0.500 0.500

Crystalline Zr3Ag3PdS8 at its relaxed geometry, computed with PBE.

Computed properties:
density of states at the Fermi level: 18.509 states/eV per cell
E_form (uncorrected): -0.79 eV/atom
electronic total energy: -84.3 eV per formula unit

a b c (Å): 12.671 7.372 7.925
angles (deg): 90.00 123.04 90.00
Space group C2/m (No. 12)
Inequivalent atoms, fractional coordinates:
Zr 0.000 0.000 0.000
Zr 0.250 0.250 0.000
Ag 0.000 0.500 0.500
Ag 0.250 0.250 0.500
Pd 0.000 0.500 0.000
S 0.007 0.250 0.775
S 0.234 0.500 0.219
S 0.243 0.000 0.224

Crystalline LaTb7Nd4 at its relaxed geometry, computed with PBE.

Computed properties:
energy relative to the elements: 13.0 meV per atom
relative energy among the computed polymorphs: 0 meV per atom
density of states at the Fermi level: 17.477 states/eV per cell
electronic total energy: -56.3 eV per formula unit

a b c (Å): 6.326 7.292 9.012
angles (deg): 90.02 103.62 90.07
Space group P-1 (No. 2)
Inequivalent atoms, fractional coordinates:
La 0.000 0.000 0.000
Tb 0.000 0.500 0.000
Tb 0.221 0.000 0.667
Tb 0.278 0.249 0.332
Tb 0.500 0.249 0.001
Nd 0.222 0.500 0.668
Nd 0.279 0.751 0.334

Crystalline Pm2Nd2Tl3 at its relaxed geometry, computed with PBE.

Computed properties:
energy relative to the elements: -276.3 meV per atom
relative energy among the computed polymorphs: 0 meV per atom
density of states at the Fermi level: 7.881 states/eV per cell
electronic total energy: -28.1 eV per formula unit

a b c (Å): 4.569 6.345 7.819
angles (deg): 84.44 89.96 68.97
Space group P-1 (No. 2)
Inequivalent atoms, fractional coordinates:
Pm 0.199 0.102 0.155
Nd 0.072 0.356 0.709
Tl 0.353 0.794 0.562
Tl 0.500 0.500 0.000

Crystalline LiFe2Re at its relaxed geometry, computed with PBE.

Computed properties:
energy relative to the elements: 299.4 meV per atom
relative energy among the computed polymorphs: 153 meV per atom
density of states at the Fermi level: 4.107 states/eV per cell
electronic total energy: -30.1 eV per formula unit

a b c (Å): 2.554 3.833 5.082
angles (deg): 90.00 90.00 90.00
Space group Pmm2 (No. 25)
Inequivalent atoms, fractional coordinates:
Li 0.000 0.000 0.000
Fe 0.000 0.000 0.506
Fe 0.500 0.500 0.781
Re 0.500 0.500 0.288

Crystalline Na3TmU2S6 at its relaxed geometry, computed with PBE.

Computed properties:
density of states at the Fermi level: 13.147 states/eV per cell
E_form (uncorrected): -1.50 eV/atom
electronic total energy: -73.7 eV per formula unit

a b c (Å): 6.847 11.861 7.116
angles (deg): 90.00 108.71 90.00
Space group C2/m (No. 12)
Inequivalent atoms, fractional coordinates:
Na 0.000 0.000 0.000
Na 0.000 0.334 0.000
Tm 0.000 0.500 0.500
U 0.000 0.167 0.500
S 0.241 0.335 0.729
S 0.247 0.000 0.728

Crystalline Ca2TcSe at its relaxed geometry, computed with PBE.

Computed properties:
density of states at the Fermi level: 9.923 states/eV per cell
E_form (uncorrected): -0.15 eV/atom
electronic total energy: -18.5 eV per formula unit

a b c (Å): 3.7315 3.7315 24.9072
angles (deg): 90.00 90.00 120.00
Space group R-3m (No. 166, hexagonal axes)
Inequivalent atoms, fractional coordinates:
Ca 0.0000 0.0000 0.2420
Tc 0.0000 0.0000 0.0000
Se 0.0000 0.0000 0.5000

Crystalline AcThHgPb at its relaxed geometry, computed with PBE.

Computed properties:
energy relative to the elements: -282.0 meV per atom
density of states at the Fermi level: 11.042 states/eV per cell
electronic total energy: -16.7 eV per formula unit

a b c (Å): 7.982 7.982 7.982
angles (deg): 90.00 90.00 90.00
Space group F-43m (No. 216)
Inequivalent atoms, fractional coordinates:
Ac 0.000 0.000 0.000
Th 0.000 0.000 0.500
Hg 0.250 0.250 0.750
Pb 0.250 0.250 0.250

Crystalline Nb7Ga2N2 at its relaxed geometry, computed with PBE.

Computed properties:
density of states at the Fermi level: 12.981 states/eV per cell
E_form (uncorrected): -0.10 eV/atom
electronic total energy: -94.3 eV per formula unit

a b c (Å): 9.265 8.506 5.051
angles (deg): 90.00 116.57 90.00
Space group C2/m (No. 12)
Inequivalent atoms, fractional coordinates:
Nb 0.000 0.000 0.000
Nb 0.154 0.500 0.711
Nb 0.172 0.330 0.231
Ga 0.000 0.206 0.500
N 0.172 0.000 0.826

Crystalline Tl7VTe6 at its relaxed geometry, computed with PBE.

Computed properties:
E_form (uncorrected): -0.25 eV/atom
electronic total energy: -48.0 eV per formula unit

a b c (Å): 8.203 15.102 18.464
angles (deg): 90.00 90.00 90.00
Space group Ibam (No. 72)
Inequivalent atoms, fractional coordinates:
Tl 0.000 0.000 0.250
Tl 0.171 0.291 0.118
Tl 0.250 0.022 0.000
V 0.000 0.500 0.250
Te 0.035 0.168 0.500
Te 0.188 0.406 0.325

Crystalline YAsP2 at its relaxed geometry, computed with PBE.

Computed properties:
energy relative to the elements: -688.3 meV per atom
density of states at the Fermi level: 0.847 states/eV per cell
electronic total energy: -24.7 eV per formula unit

a b c (Å): 10.723 3.763 4.059
angles (deg): 90.00 92.49 90.00
Space group Cm (No. 8)
Inequivalent atoms, fractional coordinates:
Y 0.000 0.000 0.000
As 0.277 0.500 0.471
P 0.061 0.500 0.508
P 0.282 0.000 0.077

Crystalline Pr2SmErTm at its relaxed geometry, computed with PBE.

Computed properties:
energy relative to the elements: 403.6 meV per atom
density of states at the Fermi level: 26.992 states/eV per cell
electronic total energy: -21.3 eV per formula unit

a b c (Å): 8.483 11.569 7.332
angles (deg): 90.00 90.00 90.00
Space group Cmcm (No. 63)
Inequivalent atoms, fractional coordinates:
Pr 0.195 0.000 0.000
Sm 0.000 0.225 0.250
Er 0.000 0.233 0.750
Tm 0.000 0.492 0.250

Crystalline La6PrHo2 at its relaxed geometry, computed with PBE.

Computed properties:
energy relative to the elements: 93.9 meV per atom
relative energy among the computed polymorphs: 39 meV per atom
density of states at the Fermi level: 34.746 states/eV per cell
electronic total energy: -42.7 eV per formula unit

a b c (Å): 9.473 18.254 3.720
angles (deg): 90.00 99.07 90.00
Space group C2/m (No. 12)
Inequivalent atoms, fractional coordinates:
La 0.166 0.000 0.312
La 0.171 0.172 0.822
Pr 0.000 0.500 0.000
Ho 0.000 0.336 0.500